Record 1
Compound: K3YHg
Source: Alexandria
Functional: GGA-PBE
Structure: optimized geometry

a = 7.433 Å, b = 7.433 Å, c = 7.433 Å
α = 90.00°, β = 90.00°, γ = 90.00°
Fractional coordinates of all 5 atoms:
K  0.000  0.000  0.500
K  0.000  0.500  0.000
K  0.500  0.000  0.000
Y  0.000  0.000  0.000
Hg  0.500  0.500  0.500

## Properties
- calculated density (Mg/m³) = 1.645
- excess energy over the best structure of this formula in the dataset (eV/atom) = 0.311
- DFT formation energy (eV/atom) = 0.79



Record 2
Compound: B2C
Source: Alexandria
Functional: GGA-PBE
Structure: optimized geometry

a = 2.287 Å, b = 2.587 Å, c = 13.943 Å
α = 90.00°, β = 90.00°, γ = 90.00°
Fractional coordinates of all 12 atoms:
B  0.000  0.000  0.000
B  0.000  0.000  0.311
B  0.000  0.000  0.654
B  0.000  0.500  0.401
B  0.000  0.500  0.745
B  0.500  0.000  0.212
B  0.500  0.500  0.502
B  0.500  0.500  0.847
C  0.000  0.500  0.074
C  0.500  0.000  0.568
C  0.500  0.000  0.913
C  0.500  0.500  0.137

## Properties
- calculated density (Mg/m³) = 2.709
- excess energy over the best structure of this formula in the dataset (eV/atom) = 0.225
- DFT formation energy (eV/atom) = 0.41



Record 3
Compound: ZnMoAu
Source: Alexandria
Functional: GGA-PBE
Structure: optimized geometry

a = 2.837 Å, b = 2.837 Å, c = 6.935 Å
α = 90.00°, β = 90.00°, γ = 120.00°
Fractional coordinates of all 3 atoms:
Zn  0.000  0.000  0.000
Mo  0.333  0.667  0.676
Au  0.667  0.333  0.331

## Properties
- calculated density (Mg/m³) = 12.309
- excess energy over the best structure of this formula in the dataset (eV/atom) = 0.084
- DFT formation energy (eV/atom) = 0.18



Record 4
Compound: AcPm2Ga
Source: Alexandria
Functional: GGA-PBE
Structure: optimized geometry

a = 4.963 Å, b = 4.963 Å, c = 4.979 Å
α = 90.00°, β = 90.00°, γ = 90.00°
Fractional coordinates of all 4 atoms:
Ac  0.000  0.000  0.000
Pm  0.000  0.500  0.500
Pm  0.500  0.000  0.500
Ga  0.500  0.500  0.000

## Properties
- calculated density (Mg/m³) = 7.944
- excess energy over the best structure of this formula in the dataset (eV/atom) = 0.081
- DFT formation energy (eV/atom) = -0.16



Record 5
Compound: ReOsSCl2
Source: Alexandria
Functional: GGA-PBE
Structure: optimized geometry

a = 4.965 Å, b = 4.965 Å, c = 4.475 Å
α = 90.00°, β = 90.00°, γ = 90.00°
Fractional coordinates of all 5 atoms:
Re  0.000  0.000  0.000
Os  0.500  0.500  0.500
S  0.500  0.500  0.000
Cl  0.000  0.500  0.500
Cl  0.500  0.000  0.500

## Properties
- calculated density (Mg/m³) = 7.216
- raw formation energy (meV per atom) = 1331.2
- excess energy over the best structure of this formula in the dataset (eV/atom) = 0.056



Record 6
Compound: KPrTe2
Source: Alexandria
Functional: GGA-PBE
Structure: optimized geometry

a = 8.687 Å, b = 8.687 Å, c = 8.687 Å
α = 31.06°, β = 31.06°, γ = 31.06°
Fractional coordinates of all 4 atoms:
K  0.000  0.000  0.000
Pr  0.500  0.500  0.500
Te  0.239  0.239  0.239
Te  0.761  0.761  0.761

## Properties
- calculated density (Mg/m³) = 4.669
- raw formation energy (meV per atom) = -1419.2



Record 7
Compound: CsCr6S8
Source: Alexandria
Functional: GGA-PBE
Structure: optimized geometry

a = 6.800 Å, b = 6.800 Å, c = 6.800 Å
α = 89.89°, β = 89.89°, γ = 89.89°
Fractional coordinates of all 15 atoms:
Cs  0.000  0.000  0.000
Cr  0.202  0.576  0.397
Cr  0.397  0.202  0.576
Cr  0.424  0.603  0.798
Cr  0.576  0.397  0.202
Cr  0.603  0.798  0.424
Cr  0.798  0.424  0.603
S  0.138  0.408  0.706
S  0.270  0.270  0.270
S  0.294  0.862  0.592
S  0.408  0.706  0.138
S  0.592  0.294  0.862
S  0.706  0.138  0.408
S  0.730  0.730  0.730
S  0.862  0.592  0.294

## Properties
- calculated density (Mg/m³) = 3.704
- raw formation energy (meV per atom) = -661.0



Record 8
Compound: ErMgAgPt
Source: Alexandria
Functional: GGA-PBE
Structure: optimized geometry

a = 4.810 Å, b = 4.810 Å, c = 4.810 Å
α = 60.00°, β = 60.00°, γ = 60.00°
Fractional coordinates of all 4 atoms:
Er  0.000  0.000  0.000
Mg  0.500  0.500  0.500
Ag  0.250  0.250  0.250
Pt  0.750  0.750  0.750

## Properties
- calculated density (Mg/m³) = 10.438
- DFT formation energy (eV/atom) = -0.70



Number 1: volume 411 Å³ per cell. Number 2: volume 82 Å³ per cell. Number 3: volume 48 Å³ per cell. Number 4: volume 123 Å³ per cell. Number 5: volume 110 Å³ per cell. Number 6: volume 155 Å³ per cell. Number 7: volume 314 Å³ per cell. Number 8: volume 79 Å³ per cell.